#a
Pr2CuSe | PBE | relaxed

a = 4.3562 Å, b = 4.1027 Å, c = 12.0233 Å
α = 99.82°, β = 90.00°, γ = 90.00°
Sites, in units of the cell vectors:
Pr1 0.7500 0.6833 0.3665
Pr2 0.2500 0.3167 0.6335
Pr3 0.7500 0.9355 0.8710
Pr4 0.2500 0.0645 0.1290
Cu1 0.2500 0.4665 0.9330
Cu2 0.7500 0.5335 0.0670
Se1 0.2500 0.1912 0.3823
Se2 0.7500 0.8088 0.6177



#b
Pr2CuSe | PBE | relaxed

a = 4.1364 Å, b = 4.1364 Å, c = 7.8450 Å
α = 74.71°, β = 74.71°, γ = 60.00°
Sites, in units of the cell vectors:
Pr1 0.0789 0.0789 0.7633
Pr2 0.2545 0.2545 0.2366
Cu1 0.6674 0.6674 0.9979
Se1 0.4993 0.4993 0.5022



#c
Pr2CuSe | PBE | relaxed

a = 4.1819 Å, b = 4.1819 Å, c = 7.6133 Å
α = 74.06°, β = 74.06°, γ = 60.00°
Sites, in units of the cell vectors:
Pr1 0.2503 0.2503 0.2491
Pr2 0.7497 0.7497 0.7509
Cu1 0.0000 0.0000 0.0000
Se1 0.5000 0.5000 0.5000



Which structure is the most stable? The one labeled #a.



#a
PrSm2Cu | PBE | relaxed

a = 3.6801 Å, b = 3.6801 Å, c = 10.3917 Å
α = 79.80°, β = 79.80°, γ = 60.00°
Sites, in units of the cell vectors:
Pr1 0.5000 0.5000 0.5000
Cu1 0.0000 0.0000 0.0000
Sm1 0.2664 0.2664 0.2007
Sm2 0.7336 0.7336 0.7993



#b
PrSm2Cu | PBE | relaxed

a = 3.6048 Å, b = 3.6048 Å, c = 8.8145 Å
α = 90.00°, β = 90.00°, γ = 90.00°
Sites, in units of the cell vectors:
Pr1 0.5000 0.5000 0.5000
Cu1 0.5000 0.5000 0.0000
Sm1 0.0000 0.0000 0.8065
Sm2 0.0000 0.0000 0.1935



#c
PrSm2Cu | PBE | relaxed

a = 6.5949 Å, b = 6.9956 Å, c = 10.1180 Å
α = 90.00°, β = 90.00°, γ = 90.00°
Sites, in units of the cell vectors:
Pr1 0.6390 0.5173 0.2500
Pr2 0.8610 0.0173 0.2500
Pr3 0.3610 0.4827 0.7500
Pr4 0.1390 0.9827 0.7500
Sm1 0.1750 0.6880 0.0580
Sm2 0.3250 0.1880 0.4420
Sm3 0.8250 0.3120 0.5581
Sm4 0.6750 0.8120 0.9420
Sm5 0.8250 0.3120 0.9420
Sm6 0.6750 0.8120 0.5581
Sm7 0.1750 0.6880 0.4420
Sm8 0.3250 0.1880 0.0580
Cu1 0.0738 0.3965 0.2500
Cu2 0.4262 0.8965 0.2500
Cu3 0.9262 0.6035 0.7500
Cu4 0.5738 0.1035 0.7500



Which structure is the most stable? The one labeled #b.



#a
PrCu3Sn3 | PBE | relaxed

a = 7.0372 Å, b = 7.0372 Å, c = 8.4740 Å
α = 65.47°, β = 65.47°, γ = 60.00°
Sites, in units of the cell vectors:
Pr1 0.3383 0.3383 0.9852
Pr2 0.6617 0.6617 0.0148
Cu1 0.4792 0.6635 0.6314
Cu2 0.6635 0.2260 0.6314
Cu3 0.2260 0.4792 0.6314
Cu4 0.7740 0.5208 0.3686
Cu5 0.3365 0.7740 0.3686
Cu6 0.5208 0.3365 0.3686
Sn1 0.1243 0.6134 0.2842
Sn2 0.9781 0.1243 0.2842
Sn3 0.6134 0.9781 0.2842
Sn4 0.3866 0.0219 0.7158
Sn5 0.0219 0.8757 0.7158
Sn6 0.8757 0.3866 0.7158



#b
PrCu3Sn3 | PBE | relaxed

a = 7.0819 Å, b = 7.0819 Å, c = 7.0819 Å
α = 90.00°, β = 90.00°, γ = 90.00°
Sites, in units of the cell vectors:
Pr1 0.5000 0.5000 0.5000
Pr2 0.0000 0.0000 0.0000
Sn1 0.0000 0.2500 0.5000
Sn2 0.0000 0.7500 0.5000
Sn3 0.5000 0.0000 0.7500
Sn4 0.7500 0.5000 0.0000
Sn5 0.5000 0.0000 0.2500
Sn6 0.2500 0.5000 0.0000
Cu1 0.2500 0.0000 0.5000
Cu2 0.0000 0.5000 0.2500
Cu3 0.5000 0.7500 0.0000
Cu4 0.7500 0.0000 0.5000
Cu5 0.0000 0.5000 0.7500
Cu6 0.5000 0.2500 0.0000



Which structure is the most stable? The one labeled #a.



#a
SrPrCu2 | PBE | relaxed

a = 5.1981 Å, b = 5.1981 Å, c = 5.1981 Å
α = 60.00°, β = 60.00°, γ = 60.00°
Sites, in units of the cell vectors:
Pr1 0.0000 0.0000 0.0000
Sr1 0.5000 0.5000 0.5000
Cu1 0.2500 0.2500 0.2500
Cu2 0.7500 0.7500 0.7500



#b
SrPrCu2 | PBE | relaxed

a = 3.7125 Å, b = 3.7125 Å, c = 7.4024 Å
α = 90.00°, β = 90.00°, γ = 90.00°
Sites, in units of the cell vectors:
Pr1 0.5000 0.5000 0.0000
Sr1 0.5000 0.5000 0.5000
Cu1 0.0000 0.0000 0.7943
Cu2 0.0000 0.0000 0.2057



Which structure is the most stable? The one labeled #b.



#a
TbPrCu4 | PBE | relaxed

a = 5.3328 Å, b = 5.3328 Å, c = 5.3328 Å
α = 60.00°, β = 60.00°, γ = 60.00°
Sites, in units of the cell vectors:
Pr1 0.2500 0.2500 0.2500
Tb1 0.0000 0.0000 0.0000
Cu1 0.6259 0.6259 0.1224
Cu2 0.6259 0.1224 0.6259
Cu3 0.6259 0.6259 0.6259
Cu4 0.1224 0.6259 0.6259



#b
TbPrCu4 | PBE | relaxed

a = 4.3299 Å, b = 5.5625 Å, c = 5.5625 Å
α = 78.68°, β = 67.10°, γ = 67.10°
Sites, in units of the cell vectors:
Tb1 0.4637 0.0363 0.0363
Pr1 0.5410 0.4590 0.4590
Cu1 0.1637 0.6398 0.0329
Cu2 0.8340 0.8712 0.4607
Cu3 0.8340 0.4607 0.8712
Cu4 0.1637 0.0329 0.6398



Which structure is the most stable? The one labeled #b.



#a
PrThCu2 | PBE | relaxed

a = 3.7942 Å, b = 4.3650 Å, c = 6.0188 Å
α = 90.00°, β = 109.17°, γ = 90.00°
Sites, in units of the cell vectors:
Pr1 0.7329 0.0000 0.0000
Th1 0.4387 0.5000 0.4203
Cu1 0.1460 0.5000 0.8302
Cu2 0.0134 0.0000 0.5675



#b
PrThCu2 | PBE | relaxed

a = 3.5757 Å, b = 3.5757 Å, c = 7.2943 Å
α = 90.00°, β = 90.00°, γ = 90.00°
Sites, in units of the cell vectors:
Pr1 0.5000 0.5000 0.5000
Cu1 0.0000 0.0000 0.7583
Cu2 0.0000 0.0000 0.2417
Th1 0.5000 0.5000 0.0000



#c
PrThCu2 | PBE | relaxed

a = 5.0833 Å, b = 5.0833 Å, c = 5.0833 Å
α = 60.00°, β = 60.00°, γ = 60.00°
Sites, in units of the cell vectors:
Pr1 0.5000 0.5000 0.5000
Cu1 0.2500 0.2500 0.2500
Cu2 0.7500 0.7500 0.7500
Th1 0.0000 0.0000 0.0000



Which structure is the most stable? The one labeled #a.



#a
PrThCu4 | PBE | relaxed

a = 5.3724 Å, b = 5.3724 Å, c = 5.3724 Å
α = 60.00°, β = 60.00°, γ = 60.00°
Sites, in units of the cell vectors:
Pr1 0.0000 0.0000 0.0000
Th1 0.2500 0.2500 0.2500
Cu1 0.6249 0.6249 0.1253
Cu2 0.6249 0.1253 0.6249
Cu3 0.6249 0.6249 0.6249
Cu4 0.1253 0.6249 0.6249



#b
PrThCu4 | PBE | relaxed

a = 3.9461 Å, b = 3.9461 Å, c = 8.3016 Å
α = 103.75°, β = 103.75°, γ = 90.00°
Sites, in units of the cell vectors:
Pr1 0.2500 0.7500 0.5000
Th1 0.0000 0.0000 0.0000
Cu1 0.6692 0.1692 0.3384
Cu2 0.5792 0.5792 0.1583
Cu3 0.8308 0.3308 0.6616
Cu4 0.4208 0.4208 0.8417



Which structure is the most stable? The one labeled #b.



#a
PrTmCu2 | PBE | relaxed

a = 4.9867 Å, b = 4.9867 Å, c = 4.9867 Å
α = 60.00°, β = 60.00°, γ = 60.00°
Sites, in units of the cell vectors:
Pr1 0.5000 0.5000 0.5000
Tm1 0.0000 0.0000 0.0000
Cu1 0.2500 0.2500 0.2500
Cu2 0.7500 0.7500 0.7500



#b
PrTmCu2 | PBE | relaxed

a = 3.4887 Å, b = 3.4887 Å, c = 7.1284 Å
α = 90.00°, β = 90.00°, γ = 90.00°
Sites, in units of the cell vectors:
Pr1 0.5000 0.5000 0.5000
Tm1 0.5000 0.5000 0.0000
Cu1 0.0000 0.0000 0.7805
Cu2 0.0000 0.0000 0.2195



Which structure is the most stable? The one labeled #b.